Computed, not measured: crystalline Te2PbSe at its relaxed geometry at the PBE level of DFT.

Cell and atoms, written as POSCAR:
```
Te2PbSe
1.0
-4.799 -2.047 4.575
-1.625 -5.453 3.972
-0.615 -1.757 6.685
Pb Se Te
1 1 2
Direct
0.493 0.493 0.493
0.749 0.749 0.749
0.004 0.004 0.004
0.254 0.254 0.254
```

Computed properties:
Final energy   -3.421 eV/atom
Formation energy without anion corrections   -0.052 eV per atom
Space-group type   No. 160
M_tot   0.00 μB/f.u.